LiEuHoIn: optimized geometry, PBE.

Values from the calculation:
ρ	6.51	g cm⁻³
size of the total moment	7.18	μB/cell
SG	F-43m
E_form	-217	meV per atom

a b c (Å): 5.4089 5.4089 5.4089
angles (deg): 60.00 60.00 60.00
Fractional coordinates of all 4 atoms:
Ho: 0.2500 0.2500 0.2500
In: 0.5000 0.5000 0.5000
Eu: 0.7500 0.7500 0.7500
Li: 0.0000 0.0000 0.0000